10
Lattice="4.2066 0.0000 0.0000 0.0000 4.2066 0.0000 0.0000 0.0000 10.2265" Properties=species:S:1:pos:R:3 comment="Tb2CdSi4Pt3 (PBE, optimized geometry)" dos_ef_per_ev_cell=3.48 raw_formation_energy_mev_per_atom=-902 m_tot_mub_per_atom=0.000 energy_ev_per_atom=-5.90 pbc="T T T"
Tb 2.1033 0.0000 2.4722
Tb 0.0000 2.1033 7.7543
Pt 2.1033 0.0000 9.0187
Pt 0.0000 0.0000 5.1133
Pt 0.0000 2.1033 1.2078
Si 2.1033 0.0000 6.6428
Si 0.0000 0.0000 0.0000
Si 0.0000 2.1033 3.5837
Si 2.1033 2.1033 0.0000
Cd 2.1033 2.1033 5.1133